Record 1
A relaxed structure of CdInHg2. Source: Alexandria, functional GGA-PBE.

Unit cell a=3.7027 b=3.7027 c=7.4930 alpha=90.00 beta=90.00 gamma=90.00
Closest atoms and distances in Å follow each position.
Atoms (fractional coordinates):
Cd 0.5000 0.5000 0.7592  4 Hg 3.14, 4 In 3.24
Hg 0.0000 0.0000 0.9900  4 Cd 3.14, 4 Hg 3.25
Hg 0.5000 0.5000 0.2459  4 Hg 3.25, 4 In 3.26
In 0.0000 0.0000 0.5049  4 Cd 3.24, 4 Hg 3.26

mass density = 10.16 Mg/m³
electronic total energy = -1.029 eV per atom
size of the total moment = 0.00 μB/f.u.

=====

Record 2
A relaxed structure of TiBeRe. Source: Alexandria, functional GGA-PBE.

Unit cell a=3.1381 b=3.1381 c=4.6300 alpha=109.81 beta=109.81 gamma=90.00
Closest atoms and distances in Å follow each position.
Atoms (fractional coordinates):
Re 0.6042 0.6042 0.2084  4 Be 2.50, 5 Ti 2.61-2.65
Be 0.9627 0.9627 0.9255  4 Re 2.50, 5 Ti 2.60-2.66
Ti 0.2831 0.2831 0.5662  5 Be 2.60-2.66, 5 Re 2.61-2.65

mass density = 10.09 Mg/m³
electronic total energy = -8.206 eV per atom
size of the total moment = 0.19 μB/f.u.

=====

Record 3
A relaxed structure of Pa2PdPt. Source: Alexandria, functional GGA-PBE.

Unit cell a=3.0817 b=3.0817 c=10.5356 alpha=81.59 beta=81.59 gamma=60.00
Closest atoms and distances in Å follow each position.
Atoms (fractional coordinates):
Pa 0.0872 0.0872 0.7384  1 Pt 2.72
Pa 0.9128 0.9128 0.2616  1 Pt 2.72
Pd 0.5000 0.5000 0.5000  6 Pa 3.05, 6 Pd 3.08
Pt 0.0000 0.0000 0.0000  2 Pa 2.72

mass density = 14.85 Mg/m³
electronic total energy = -7.631 eV per atom
size of the total moment = 0.00 μB/f.u.

=====

Record 4
A relaxed structure of K2CeTe3O12. Source: Alexandria, functional GGA-PBE.

Unit cell a=7.7188 b=7.7188 c=7.7188 alpha=56.84 beta=56.84 gamma=56.84
Closest atoms and distances in Å follow each position.
Atoms (fractional coordinates):
K 0.6066 0.6066 0.6066  3 O 3.06
K 0.3934 0.3934 0.3934  3 O 3.06
Ce 0.0000 0.0000 0.0000  6 O 2.22
Te 0.5000 0.0000 0.0000  6 O 1.90-1.98
Te 0.0000 0.5000 0.0000  6 O 1.90-1.98
Te 0.0000 0.0000 0.5000  6 O 1.90-1.98
O 0.3190 0.3190 0.9174  2 Te 1.98
O 0.9317 0.9317 0.3469  1 Te 1.90
O 0.3469 0.9317 0.9317  1 Te 1.90
O 0.9174 0.3190 0.3190  2 Te 1.98
O 0.9317 0.3469 0.9317  1 Te 1.90
O 0.3190 0.9174 0.3190  2 Te 1.98
O 0.6810 0.6810 0.0826  2 Te 1.98
O 0.0683 0.0683 0.6531  1 Te 1.90
O 0.6531 0.0683 0.0683  1 Te 1.90
O 0.0826 0.6810 0.6810  2 Te 1.98
O 0.0683 0.6531 0.0683  1 Te 1.90
O 0.6810 0.0826 0.6810  2 Te 1.98

energy relative to the elements, uncorrected = -1.555 eV/atom
mass density = 4.37 Mg/m³
size of the total moment = 0.00 μB/f.u.

=====

Record 5
A relaxed structure of PdSe2Cl. Source: Alexandria, functional GGA-PBE.

Unit cell a=6.8757 b=6.8757 c=6.4295 alpha=57.68 beta=57.68 gamma=90.00
Closest atoms and distances in Å follow each position.
Atoms (fractional coordinates):
Se 0.6825 0.1250 0.2500  2 Pd 2.41
Se 0.0675 0.6250 0.2500  2 Pd 2.41
Se 0.3750 0.3175 0.7500  2 Pd 2.41
Se 0.8750 0.9325 0.7500  2 Pd 2.41
Pd 0.0000 0.0000 0.0000  4 Se 2.41
Pd 0.7500 0.2500 0.5000  4 Se 2.41
Cl 0.5000 0.5000 0.0000  4 Se 2.92
Cl 0.2500 0.7500 0.5000  4 Se 2.92

energy relative to the elements, uncorrected = 0.146 eV/atom
mass density = 5.01 Mg/m³
size of the total moment = 0.00 μB/f.u.

=====

Record 6
A relaxed structure of MgScHPb2. Source: Alexandria, functional GGA-PBE.

Unit cell a=5.7786 b=3.4035 c=5.7786 alpha=90.00 beta=90.00 gamma=90.00
Closest atoms and distances in Å follow each position.
Atoms (fractional coordinates):
Pb 0.0000 0.0000 0.5000  2 Mg 2.89
Pb 0.5000 0.0000 0.0000  2 Mg 2.89
Sc 0.5000 0.5000 0.5000  8 Pb 3.35, 2 Sc 3.40
Mg 0.0000 0.0000 0.0000  2 H 1.70
H 0.0000 0.5000 0.0000  2 Mg 1.70

mass density = 7.08 Mg/m³
electronic total energy = -3.636 eV per atom
size of the total moment = 0.00 μB/f.u.

=====

Record 7
A relaxed structure of V2CrTc3. Source: Alexandria, functional GGA-PBE.

Unit cell a=4.2519 b=6.7268 c=6.0316 alpha=90.00 beta=90.00 gamma=71.58
Closest atoms and distances in Å follow each position.
Atoms (fractional coordinates):
V 0.0000 0.0000 0.0000  8 Tc 2.60-2.61
V 0.0000 0.0000 0.5000  8 Tc 2.61
V 0.3327 0.3346 0.5000  8 Tc 2.60-2.62
V 0.6673 0.6654 0.5000  8 Tc 2.60-2.62
Cr 0.3318 0.3364 0.0000  8 Tc 2.59-2.62
Cr 0.6682 0.6636 0.0000  8 Tc 2.59-2.62
Tc 0.8331 0.3338 0.7506  3 Cr 2.59-2.60, 5 V 2.60-2.61
Tc 0.5000 0.0000 0.2494  6 V 2.60-2.62, 2 Cr 2.62
Tc 0.1669 0.6662 0.2494  3 Cr 2.59-2.60, 5 V 2.60-2.61
Tc 0.8331 0.3338 0.2494  3 Cr 2.59-2.60, 5 V 2.60-2.61
Tc 0.1669 0.6662 0.7506  3 Cr 2.59-2.60, 5 V 2.60-2.61
Tc 0.5000 0.0000 0.7506  6 V 2.60-2.62, 2 Cr 2.62

mass density = 9.09 Mg/m³
electronic total energy = -10.044 eV per atom
size of the total moment = 0.47 μB/f.u.

=====

Record 8
A relaxed structure of TiNb4W3. Source: Alexandria, functional GGA-PBE.

Unit cell a=3.2443 b=4.5983 c=9.1949 alpha=90.00 beta=90.00 gamma=90.00
Closest atoms and distances in Å follow each position.
Atoms (fractional coordinates):
Nb 0.0000 0.0000 0.5000  8 W 2.81-2.84
Nb 0.0000 0.5000 0.7450  6 W 2.78-2.81, 2 Ti 2.85
Nb 0.0000 0.0000 0.0000  4 W 2.79, 4 Ti 2.81
Nb 0.0000 0.5000 0.2550  6 W 2.78-2.81, 2 Ti 2.85
W 0.5000 0.0000 0.2465  8 Nb 2.79-2.84
W 0.5000 0.5000 0.5000  8 Nb 2.78-2.81
W 0.5000 0.0000 0.7535  8 Nb 2.79-2.84
Ti 0.5000 0.5000 0.0000  8 Nb 2.81-2.85

mass density = 11.75 Mg/m³
electronic total energy = -10.914 eV per atom
size of the total moment = 0.00 μB/f.u.

=====

Record 9
A relaxed structure of Ba2NpRe2N6. Source: Alexandria, functional GGA-PBE.

Unit cell a=6.1883 b=6.1883 c=6.9357 alpha=63.51 beta=63.51 gamma=60.00
Closest atoms and distances in Å follow each position.
Atoms (fractional coordinates):
Ba 0.7790 0.7790 0.6630  9 N 3.16-3.17
Ba 0.2210 0.2210 0.3370  9 N 3.16-3.17
Np 0.0000 0.0000 0.0000  6 N 2.21
Re 0.4323 0.4323 0.7030  3 N 1.86
Re 0.5677 0.5677 0.2970  3 N 1.86
N 0.7608 0.7608 0.2225  1 Re 1.86
N 0.2559 0.7608 0.2225  1 Re 1.86
N 0.7608 0.2559 0.2225  1 Re 1.86
N 0.2392 0.7441 0.7775  1 Re 1.86
N 0.7441 0.2392 0.7775  1 Re 1.86
N 0.2392 0.2392 0.7775  1 Re 1.86

energy relative to the elements, uncorrected = -0.680 eV/atom
mass density = 8.15 Mg/m³
size of the total moment = 1.51 μB/f.u.

=====

Record 10
A relaxed structure of LaPm4Tm7. Source: Alexandria, functional GGA-PBE.

Unit cell a=7.0063 b=6.7680 c=12.1970 alpha=73.43 beta=44.52 gamma=76.63
Closest atoms and distances in Å follow each position.
Atoms (fractional coordinates):
La 0.0000 0.0000 0.0000  8 Tm 3.50-3.87, 4 Pm 3.62-3.82
Pm 0.4505 0.6521 0.3186  6 Tm 3.33-3.54, 2 Pm 3.55-3.58, 1 La 3.62
Pm 0.5495 0.3479 0.6814  6 Tm 3.33-3.54, 2 Pm 3.55-3.58, 1 La 3.62
Pm 0.7307 0.8139 0.6670  7 Tm 3.45-3.79, 4 Pm 3.55-3.77, 1 La 3.82
Pm 0.2693 0.1861 0.3330  7 Tm 3.45-3.79, 4 Pm 3.55-3.77, 1 La 3.82
Tm 0.7708 0.5189 0.9766  5 Tm 3.24-3.58, 2 Pm 3.33-3.55, 1 La 3.53
Tm 0.2292 0.4811 0.0234  5 Tm 3.24-3.58, 2 Pm 3.33-3.55, 1 La 3.53
Tm 0.0625 0.3240 0.6712  4 Tm 3.24-3.59, 5 Pm 3.39-3.61
Tm 0.9375 0.6760 0.3288  4 Tm 3.24-3.59, 5 Pm 3.39-3.61
Tm 0.2578 0.8195 0.6372  5 Tm 3.34-3.72, 4 Pm 3.45-3.57
Tm 0.5000 0.0000 0.0000  4 Tm 3.34-3.59, 2 La 3.50, 4 Pm 3.65-3.74
Tm 0.7422 0.1805 0.3628  5 Tm 3.34-3.72, 4 Pm 3.45-3.57

mass density = 8.13 Mg/m³
electronic total energy = -4.527 eV per atom
size of the total moment = 0.00 μB/f.u.

=====

Record 11
A relaxed structure of Sc6TlCu5. Source: Alexandria, functional GGA-PBE.

Unit cell a=4.6620 b=6.7756 c=7.3609 alpha=90.00 beta=108.46 gamma=90.00
Closest atoms and distances in Å follow each position.
Atoms (fractional coordinates):
Sc 0.8268 0.7400 0.6545  7 Cu 2.80-2.93, 1 Tl 2.99
Sc 0.8268 0.2600 0.6545  7 Cu 2.80-2.93, 1 Tl 2.99
Sc 0.5000 0.2689 0.0000  6 Cu 2.78-2.94, 2 Tl 2.96
Sc 0.5000 0.7311 0.0000  6 Cu 2.78-2.94, 2 Tl 2.96
Sc 0.1732 0.7400 0.3455  7 Cu 2.80-2.93, 1 Tl 2.99
Sc 0.1732 0.2600 0.3455  7 Cu 2.80-2.93, 1 Tl 2.99
Tl 0.0000 0.0000 0.0000  8 Sc 2.96-2.99, 4 Cu 3.27-3.28
Cu 0.6660 0.5000 0.3287  8 Sc 2.78-2.85
Cu 0.3336 0.0000 0.6704  8 Sc 2.87-2.94
Cu 0.0000 0.5000 0.0000  8 Sc 2.81-2.91
Cu 0.6664 0.0000 0.3296  8 Sc 2.87-2.94
Cu 0.3340 0.5000 0.6713  8 Sc 2.78-2.85

mass density = 5.96 Mg/m³
electronic total energy = -5.325 eV per atom
size of the total moment = 0.00 μB/f.u.

=====

Record 12
A relaxed structure of La2RhBr. Source: Alexandria, functional GGA-PBE.

Unit cell a=6.2154 b=6.2154 c=4.6604 alpha=90.00 beta=90.00 gamma=36.36
Closest atoms and distances in Å follow each position.
Atoms (fractional coordinates):
Rh 0.4944 0.4944 0.3749  1 La 2.70
Br 0.7365 0.7365 0.8751  7 La 3.05-3.37
La 0.0035 0.0035 0.8749  4 Rh 3.03, 3 Br 3.15-3.37
La 0.2656 0.2656 0.3751  1 Rh 2.70

energy relative to the elements, uncorrected = -0.899 eV/atom
mass density = 7.17 Mg/m³
size of the total moment = 0.00 μB/f.u.

=====

Please write out number 6 again, unchanged.
A relaxed structure of MgScHPb2. Source: Alexandria, functional GGA-PBE.

Unit cell a=5.7786 b=3.4035 c=5.7786 alpha=90.00 beta=90.00 gamma=90.00
Closest atoms and distances in Å follow each position.
Atoms (fractional coordinates):
Pb 0.0000 0.0000 0.5000  2 Mg 2.89
Pb 0.5000 0.0000 0.0000  2 Mg 2.89
Sc 0.5000 0.5000 0.5000  8 Pb 3.35, 2 Sc 3.40
Mg 0.0000 0.0000 0.0000  2 H 1.70
H 0.0000 0.5000 0.0000  2 Mg 1.70

mass density = 7.08 Mg/m³
electronic total energy = -3.636 eV per atom
size of the total moment = 0.00 μB/f.u.